Model w:
Below is a relaxed ScAgPd4 crystal, with properties calculated at the PBE level.

Results
The space group is F-43m, No. 216. Its density is 9.30 g cm⁻³. The density of states at the Fermi level comes out at 6.0 states/eV/cell.

a b c (Å): 5.2674 5.2674 5.2674
angles (deg): 60.00 60.00 60.00
Sites, in units of the cell vectors:
Sc: 0.0000 0.0000 0.0000
Pd: 0.6250 0.6250 0.1251
Pd: 0.6250 0.1251 0.6250
Pd: 0.6250 0.6250 0.6250
Pd: 0.1251 0.6250 0.6250
Ag: 0.2500 0.2500 0.2500

Model x:
Below is a relaxed ScAgPd4 crystal, with properties calculated at the PBE level.

Results
The space group is C2/m, No. 12. Its density is 9.79 g cm⁻³. The density of states at the Fermi level comes out at 1.9 states/eV/cell.

a b c (Å): 3.9396 6.4264 4.9552
angles (deg): 105.52 66.58 72.15
Sites, in units of the cell vectors:
Sc: 0.5000 0.5000 0.5000
Ag: 0.0000 0.0000 0.0000
Pd: 0.6661 0.6679 0.9999
Pd: 0.3339 0.3321 0.0001
Pd: 0.1621 0.1728 0.5031
Pd: 0.8379 0.8272 0.4969

The structure with the most favorable energy is model x; the runner-up is 9.4 kJ/mol of atoms above it.